! AcAs2Rh | the Alexandria database | GGA-PBE | optimized geometry; values from VASP
&SYSTEM
  ibrav = 0, nat = 4, ntyp = 3
/
ATOMIC_SPECIES
Ac 227.00 Ac.upf
As 74.92 As.upf
Rh 102.91 Rh.upf
ATOMIC_POSITIONS angstrom
Ac 0.0000 0.0000 0.0000
As 0.0000 0.0000 3.8804
As 0.0000 0.0000 13.6036
Rh 0.0000 0.0000 8.7420
CELL_PARAMETERS angstrom
2.0938 1.2089 5.8280
-2.0938 1.2089 5.8280
0.0000 -2.4177 5.8280
! final energy = -24.403 eV per cell
! DOS(E_F) = 0.5 states/eV/cell
! space-group type = No. 166
! energy of formation from the pure elements = -911 meV per atom

! Zr2MnFe | the Alexandria database | GGA-PBE | optimized geometry; values from VASP
&SYSTEM
  ibrav = 0, nat = 4, ntyp = 3
/
ATOMIC_SPECIES
Zr 91.22 Zr.upf
Mn 54.94 Mn.upf
Fe 55.84 Fe.upf
ATOMIC_POSITIONS angstrom
Zr 0.0000 0.0000 0.0000
Zr 0.0043 1.7563 2.9246
Mn 2.0053 1.7563 0.8564
Fe 2.0026 0.0000 2.1028
CELL_PARAMETERS angstrom
4.0030 0.0000 0.0000
0.0000 3.5126 0.0000
-1.9934 0.0000 4.8822
! final energy = -34.996 eV per cell
! DOS(E_F) = 4.4 states/eV/cell
! space-group type = No. 6
! energy of formation from the pure elements = -67 meV per atom